# SbPt2Cl, optimized geometry, DFT PBE
# Uncorrected energy   -67.23 eV for the cell shown
# V   302 Å³ per cell
# Total moment   0.00 μB/cell
# Energy above the lowest structure with this stoichiometry   0.483 eV per atom
# Formation energy without anion corrections   120 kJ/mol of formula units
data_SbPt2Cl
_chemical_formula_sum 'Sb4 Pt8 Cl4'
_space_group_name_H-M_alt 'F -4 3 m'
_space_group_IT_number 216
_space_group_name_Hall 'F -4 2 3'
_cell_length_a 6.709
_cell_length_b 6.709
_cell_length_c 6.709
_cell_angle_alpha 90.00
_cell_angle_beta 90.00
_cell_angle_gamma 90.00
loop_
_atom_site_label
_atom_site_type_symbol
_atom_site_fract_x
_atom_site_fract_y
_atom_site_fract_z
_atom_site_occupancy
Sb1 Sb 0.000 0.000 0.000 1
Pt1 Pt 0.000 0.000 0.500 1
Pt2 Pt 0.250 0.250 0.250 1
Cl1 Cl 0.250 0.250 0.750 1